No. 1
This record from the Alexandria database describes PmTlHgPd after structural relaxation. The functional is GGA-PBE.

abc: 5.091 5.091 5.091
angles: 60.00 60.00 60.00
Sites, in units of the cell vectors:
Pm: 0.000 0.000 0.000
Tl: 0.500 0.500 0.500
Hg: 0.750 0.750 0.750
Pd: 0.250 0.250 0.250

Results
Calculated formation energy: -432 meV/atom
Calculated density: 11.681 g/cm3
SG: F-43m

***

No. 2
This record from the Alexandria database describes Ag2I2O5 after structural relaxation. The functional is GGA-PBE.

abc: 6.193 6.193 7.046
angles: 103.64 103.64 39.23
Sites, in units of the cell vectors:
Ag: 0.128 0.128 0.395
Ag: 0.872 0.872 0.605
I: 0.395 0.395 0.197
I: 0.605 0.605 0.803
O: 0.070 0.070 0.744
O: 0.322 0.322 0.425
O: 0.500 0.500 0.000
O: 0.678 0.678 0.575
O: 0.930 0.930 0.256

Results
Calculated density: 5.515 g/cm3
E: -3.7469 eV/atom
SG: C2/m

***

No. 3
This record from the Alexandria database describes TiCuAsO2 after structural relaxation. The functional is GGA-PBE.

abc: 3.774 3.774 5.278
angles: 90.00 90.00 90.00
Sites, in units of the cell vectors:
Ti: 0.000 0.000 0.000
Cu: 0.500 0.500 0.000
As: 0.000 0.000 0.500
O: 0.000 0.500 0.500
O: 0.500 0.000 0.500

Results
Calculated density: 4.824 g/cm3
E: -5.1564 eV/atom
SG: P4/mmm

***

no.,density of states at the Fermi level (states/eV/cell)
1,3.15
2,2.87
3,5.68